The following is a DFT calculation (PBE) of crystalline BeNi3Mo at its relaxed geometry.

Geometry as POSCAR:
```
BeNi3Mo
1.0
-2.240 -3.079 -2.305
3.570 -0.671 -2.572
1.432 -3.143 2.807
Ni Mo Be
3 1 1
Direct
0.500 0.000 0.000
0.000 0.500 0.000
0.000 0.000 0.500
0.000 0.000 0.000
0.500 0.500 0.500
```

Results
energy relative to the elements = 1.629 eV per atom
space group = Pm-3m (221)
uncorrected energy = -23.76 eV per cell
theoretical density = 5.29 g/cm³